1.
A relaxed structure of Nd4Sm3Hg2. Source: Alexandria via LeMat-Bulk, functional GGA-PBE.

Space group: No. 2

abc: 5.439 6.890 9.673
angles: 59.74 73.65 66.73
Positions (direct):
Nd1 0.331 0.386 0.952
Nd2 0.878 0.591 0.655
Nd3 0.122 0.409 0.345
Nd4 0.669 0.614 0.048
Sm1 0.582 0.187 0.650
Sm2 0.000 0.000 0.000
Sm3 0.418 0.813 0.350
Hg1 0.798 0.088 0.316
Hg2 0.202 0.912 0.684

***

2.
A relaxed structure of NdSm4Hg2. Source: Alexandria via LeMat-Bulk, functional GGA-PBE.

Space group: No. 166

abc: 5.133 5.133 10.890
angles: 76.37 76.37 60.00
Positions (direct):
Nd1 0.500 0.500 0.500
Sm1 0.702 0.702 0.893
Sm2 0.893 0.893 0.322
Sm3 0.298 0.298 0.107
Sm4 0.107 0.107 0.678
Hg1 0.601 0.601 0.197
Hg2 0.399 0.399 0.803

***

3.
A relaxed structure of NdSm5Hg4. Source: Alexandria via LeMat-Bulk, functional GGA-PBE.

Space group: No. 123

abc: 3.764 3.764 20.325
angles: 90.00 90.00 90.00
Positions (direct):
Nd1 0.000 0.000 0.000
Sm1 0.500 0.500 0.123
Sm2 0.500 0.500 0.312
Sm3 0.500 0.500 0.500
Sm4 0.500 0.500 0.688
Sm5 0.500 0.500 0.877
Hg1 0.000 0.000 0.215
Hg2 0.000 0.000 0.405
Hg3 0.000 0.000 0.595
Hg4 0.000 0.000 0.785

***

4.
A relaxed structure of Nd5Sm3Hg2. Source: Alexandria via LeMat-Bulk, functional GGA-PBE.

Space group: No. 72

abc: 6.901 10.557 10.557
angles: 85.23 70.92 70.92
Positions (direct):
Nd1 0.250 0.500 0.500
Nd2 0.750 0.500 0.500
Nd3 0.518 0.732 0.732
Nd4 0.982 0.268 0.268
Nd5 0.482 0.268 0.268
Nd6 0.018 0.732 0.732
Nd7 0.082 0.599 0.237
Nd8 0.918 0.401 0.763
Nd9 0.582 0.237 0.599
Nd10 0.418 0.763 0.401
Sm1 0.250 0.000 0.000
Sm2 0.750 0.000 0.000
Sm3 0.344 0.381 0.930
Sm4 0.656 0.619 0.070
Sm5 0.844 0.930 0.381
Sm6 0.156 0.070 0.619
Hg1 0.135 0.742 0.988
Hg2 0.865 0.258 0.012
Hg3 0.635 0.988 0.742
Hg4 0.365 0.012 0.258

***

| no. | V (Å³ per atom) | E_form (meV/atom) |
| --- | --- | --- |
| 1 | 31.78 | -182.4 |
| 2 | 34.16 | 33.9 |
| 3 | 28.79 | -372.5 |
| 4 | 34.33 | 53.3 |